Material: BaMgMn2
Method: DFT, GGA-PBEsol
State: optimized geometry

Properties
Its space group is No. 216. For the size of the total moment, the calculation gives 7.87 Bohr magnetons per cell. As for the total energy: -4.99 eV per atom. The formation energy comes out at 0.86 eV per atom.

a = 5.170 Å, b = 5.170 Å, c = 5.170 Å
α = 60.00°, β = 60.00°, γ = 60.00°
Last column: magnetic moment on the atom in μB.
Positions (direct):
Ba: 0.500 0.500 0.500  -0.10
Mg: 0.250 0.250 0.250  -0.03
Mn: 0.000 0.000 0.000  3.93
Mn: 0.750 0.750 0.750  3.92

Material: BaMgMnSe2
Method: DFT, GGA-PBEsol
State: optimized geometry

Properties
Its space group is No. 123. For the size of the total moment, the calculation gives 3.56 Bohr magnetons per cell. As for the total energy: -4.40 eV per atom. The value obtained for the raw formation energy is -131 meV/atom.

a = 4.928 Å, b = 4.928 Å, c = 5.521 Å
α = 90.00°, β = 90.00°, γ = 90.00°
Last column: magnetic moment on the atom in μB.
Positions (direct):
Mg: 0.500 0.500 0.500  -0.01
Mn: 0.000 0.000 0.000  3.21
Ba: 0.000 0.000 0.500  -0.02
Se: 0.000 0.500 0.000  0.04
Se: 0.500 0.000 0.000  0.04